(1)
This record from Alexandria via LeMat-Bulk describes RbNbInF6 after structural relaxation. The functional is PBE.

Lattice parameters (Å, degrees): 6.7670 6.7670 9.3868 90.00 90.00 120.00
Space group P-31c (No. 163)
Unique sites:
Rb 0.0000 0.0000 0.0000
Nb 0.3333 0.6667 0.2500
In 0.3333 0.6667 0.7500
F 0.0788 0.4086 0.1396

Results
* calculated volume: 186 Å³/f.u.
* density of states at the Fermi level: 0.235 states/eV/atom
* crystal system: trigonal
* raw total energy: -5.443 eV per atom

(2)
This record from Alexandria via LeMat-Bulk describes RbNbIn2F8 after structural relaxation. The functional is PBE.

Lattice parameters (Å, degrees): 5.0068 6.7287 8.1240 90.04 90.09 94.81
Space group P-1 (No. 2)
Unique sites:
Rb 0.0000 0.0000 0.0000
Nb 0.0000 0.0000 0.5000
In 0.5000 0.5000 0.2295
F 0.1197 0.8278 0.3262
F 0.1202 0.8280 0.6739
F 0.3381 0.1593 0.5002
F 0.4379 0.2887 0.9998

Results
* calculated volume: 273 Å³/f.u.
* crystal system: triclinic
* raw total energy: -5.209 eV per atom